{
  "formula": "Ac2Tb3Y6",
  "functional": "PBE-GGA",
  "state": "relaxed",
  "total_energy_ev_per_atom": -5.35,
  "magmom_total_mub_per_cell": 0.0,
  "delta_e_f_ev_per_fu": 2.06,
  "cell": [[3.118, -5.405, 0.000], [3.118, 5.405, 0.000], [-2.082, 0.000, 11.840]],
  "species": ["Ac", "Ac", "Tb", "Tb", "Tb", "Y", "Y", "Y", "Y", "Y", "Y"],
  "frac_coords": [[0.167, 0.833, 0.000], [0.833, 0.167, 0.000], [0.000, 0.000, 0.500], [0.335, 0.665, 0.500], [0.665, 0.335, 0.500], [0.081, 0.414, 0.741], [0.254, 0.254, 0.259], [0.414, 0.081, 0.741], [0.586, 0.919, 0.259], [0.746, 0.746, 0.741], [0.919, 0.586, 0.259]]
}